Entry 1:
Entry from Alexandria via LeMat-Bulk: LaSbIr2 at its PBEsol-relaxed geometry (meta-GGA SCAN).

As for the raw formation energy: -0.62 eV per formula unit. The space group is P4/mmm (123). As for the mass density: 13.34 g/cm3.

Cell lengths 3.5632, 3.5632, 6.3223 Å; angles 90.00, 90.00, 90.00 degrees
Last column: nearest neighbours and their distance in Å.
Fractional positions:
La (0.0000, 0.0000, 0.0000)  8 Ir 3.08, 2 Sb 3.16
Sb (0.0000, 0.0000, 0.5000)  8 Ir 2.88, 2 La 3.16
Ir (0.5000, 0.5000, 0.2790)  1 Ir 2.79, 4 Sb 2.88, 4 La 3.08
Ir (0.5000, 0.5000, 0.7210)  1 Ir 2.79, 4 Sb 2.88, 4 La 3.08

Entry 2:
Entry from Alexandria via LeMat-Bulk: CaCr2Re at its PBEsol-relaxed geometry (meta-GGA SCAN).

The formation enthalpy at 0 K comes out at 0.62 eV/atom. The space group is C2/m (12). As for the mass density: 7.76 g/cm3.

Cell lengths 4.7887, 4.7887, 5.3767 Å; angles 102.54, 102.54, 36.06 degrees
Last column: nearest neighbours and their distance in Å.
Fractional positions:
Ca (0.0000, 0.0000, 0.0000)  2 Ca 2.96, 4 Re 3.07, 6 Cr 3.11-3.24
Cr (0.2167, 0.2167, 0.6286)  2 Cr 2.20, 2 Re 2.44
Cr (0.7833, 0.7833, 0.3714)  2 Cr 2.20, 2 Re 2.44
Re (0.5000, 0.5000, 0.5000)  4 Cr 2.44

Entry 3:
Entry from Alexandria via LeMat-Bulk: LiMg2Hg at its PBEsol-relaxed geometry (meta-GGA SCAN).

The formation enthalpy at 0 K comes out at -0.32 eV/atom. The space group is Imm2 (44). As for the mass density: 5.51 g/cm3.

Cell lengths 5.4091, 5.4091, 5.4091 Å; angles 139.45, 130.47, 65.87 degrees
Last column: nearest neighbours and their distance in Å.
Fractional positions:
Li (0.0000, 0.0000, 0.0000)  2 Hg 2.78, 6 Mg 2.95-3.00
Mg (0.2575, 0.7575, 0.5000)  4 Hg 2.94, 4 Li 3.00-3.16, 4 Mg 3.05-3.11
Mg (0.5226, 0.5226, 0.0000)  4 Li 2.95, 4 Hg 2.95-3.20, 4 Mg 3.05-3.11
Hg (0.7732, 0.2732, 0.5000)  2 Li 2.78, 6 Mg 2.94-2.95

Entry 4:
Entry from Alexandria via LeMat-Bulk: YHg2Cl at its PBEsol-relaxed geometry (meta-GGA SCAN).

As for the raw formation energy: -2.87 eV per formula unit. The space group is Pmmm (47). As for the mass density: 8.82 g/cm3.

Cell lengths 3.5461, 5.1067, 5.4619 Å; angles 90.00, 90.00, 90.00 degrees
Last column: nearest neighbours and their distance in Å.
Fractional positions:
Y (0.0000, 0.0000, 0.0000)  2 Cl 2.73
Hg (0.5000, 0.5000, 0.2495)  2 Hg 2.73-2.74
Hg (0.5000, 0.5000, 0.7505)  2 Hg 2.73-2.74
Cl (0.0000, 0.0000, 0.5000)  2 Y 2.73

Entry 5:
Entry from Alexandria via LeMat-Bulk: MnIn3Re at its PBEsol-relaxed geometry (meta-GGA SCAN).

The formation enthalpy at 0 K comes out at 0.64 eV/atom. The space group is Pm-3m (221). As for the mass density: 7.16 g/cm3.

Cell lengths 5.1399, 5.1399, 5.1399 Å; angles 90.00, 90.00, 90.00 degrees
Last column: nearest neighbours and their distance in Å.
Fractional positions:
Mn (0.0000, 0.0000, 0.0000)  12 In 3.63
In (0.0000, 0.5000, 0.5000)  2 Re 2.57
In (0.5000, 0.0000, 0.5000)  2 Re 2.57
In (0.5000, 0.5000, 0.0000)  2 Re 2.57
Re (0.5000, 0.5000, 0.5000)  6 In 2.57

Entry 6:
Entry from Alexandria via LeMat-Bulk: InMoSe2Br at its PBEsol-relaxed geometry (meta-GGA SCAN).

As for the raw formation energy: -0.58 eV per formula unit. The space group is P4/mmm (123). As for the mass density: 5.91 g/cm3.

Cell lengths 4.8398, 4.8398, 5.3787 Å; angles 90.00, 90.00, 90.00 degrees
Last column: nearest neighbours and their distance in Å.
Fractional positions:
In (0.0000, 0.0000, 0.0000)  4 Br 3.42, 8 Se 3.62
Mo (0.5000, 0.5000, 0.5000)  4 Se 2.42, 2 Br 2.69
Se (0.0000, 0.5000, 0.5000)  2 Mo 2.42
Se (0.5000, 0.0000, 0.5000)  2 Mo 2.42
Br (0.5000, 0.5000, 0.0000)  2 Mo 2.69